No. 1
First-principles (SCAN) data for a PBEsol-optimized structure of NiOsC3, as listed in the Alexandria database.

Structure (POSCAR):
```
NiOsC3
1.0
3.637 0.000 0.000
0.000 3.637 0.000
0.000 0.000 3.637
Ni Os C
1 1 3
Cartesian
0.000 0.000 0.000 Ni
1.818 1.818 1.818 Os
0.000 0.000 1.818 C
0.000 1.818 0.000 C
1.818 0.000 0.000 C
```

Its formation energy is 2.699 eV per atom. Its space group is Pm-3m.

No. 2
First-principles (SCAN) data for a PBEsol-optimized structure of Al3WN, as listed in the Alexandria database.

Structure (POSCAR):
```
Al3WN
1.0
4.892 0.000 0.000
0.000 4.892 0.000
0.000 0.000 4.892
Al W N
3 1 1
Cartesian
0.000 0.000 2.446 Al
0.000 2.446 0.000 Al
2.446 0.000 0.000 Al
0.000 0.000 0.000 W
2.446 2.446 2.446 N
```

For the energy above the most stable polymorph in this dataset, the calculation gives 1769 meV/atom. Its space group is Pm-3m. The calculation puts the energy relative to the elements, uncorrected at 1.717 eV/atom.

No. 3
First-principles (SCAN) data for a PBEsol-optimized structure of RbNiSe2N, as listed in the Alexandria database.

Structure (POSCAR):
```
RbNiSe2N
1.0
5.443 0.000 0.000
0.000 5.443 0.000
0.000 0.000 3.364
Rb Ni Se N
1 1 2 1
Cartesian
0.000 0.000 0.000 Rb
2.722 2.722 1.682 Ni
0.000 2.722 1.682 Se
2.722 0.000 1.682 Se
2.722 2.722 0.000 N
```

Its space group is P4/mmm. The calculation puts the energy relative to the elements, uncorrected at 0.177 eV/atom.

Per-record electronic total energy, eV per atom: -20.972, -18.730, -17.095
Per-record N(E_F), states/eV/atom: 0.60, 0.53, 0.41